# YZrMo (PBE, optimized geometry)
# * total DFT energy (no corrections): -24.8 eV/cell
# * energy above the lowest structure with this stoichiometry: 0.233 eV per atom
# * energy of formation from the pure elements: 0.360 eV/atom
data_YZrMo
_chemical_formula_sum 'Y1 Zr1 Mo1'
_cell_length_a 3.3691
_cell_length_b 3.3691
_cell_length_c 7.0872
_cell_angle_alpha 90.00
_cell_angle_beta 90.00
_cell_angle_gamma 120.00
_symmetry_space_group_name_H-M 'P 3 m 1'
_symmetry_Int_Tables_number 156
loop_
_symmetry_equiv_pos_as_xyz
'x,y,z'
'-y,x-y,z'
'-x+y,-x,z'
'-y,-x,z'
'-x+y,y,z'
'x,x-y,z'
loop_
_atom_site_label
_atom_site_type_symbol
_atom_site_fract_x
_atom_site_fract_y
_atom_site_fract_z
Y1 Y 0.0000 0.0000 0.0000
Zr1 Zr 0.6667 0.3333 0.4109
Mo1 Mo 0.3333 0.6667 0.6774